# Te3PRu | Alexandria | PBE | optimized geometry
# - E_tot: -3.997 eV per atom
# - Space-group type: Pm-3m
# - Energy relative to the elements, uncorrected: 0.825 eV per atom
# - Excess energy over the best structure of this formula in the dataset: 0.0000 eV per atom
data_Te3PRu
_chemical_formula_sum 'Te3 P1 Ru1'
_symmetry_space_group_name_H-M 'P 1'
_symmetry_Int_Tables_number 1
_symmetry_space_group_name_Hall 'P 1'
_cell_length_a 5.152
_cell_length_b 5.152
_cell_length_c 5.152
_cell_angle_alpha 90.00
_cell_angle_beta 90.00
_cell_angle_gamma 90.00
loop_
_atom_site_label
_atom_site_type_symbol
_atom_site_fract_x
_atom_site_fract_y
_atom_site_fract_z
Ru1 Ru 0.000 0.000 0.000
Te1 Te 0.000 0.500 0.000
Te2 Te 0.000 0.000 0.500
Te3 Te 0.500 0.000 0.000
P1 P 0.500 0.500 0.500